RbNbBr3 | GGA-PBE | relaxed

Output
Total magnetic moment = 3.00 μB per formula unit
Offset from the most stable computed form = 0.046 eV per atom
SG = Pm-3m, No. 221

Unit cell a=5.453 b=5.453 c=5.453 alpha=90.00 beta=90.00 gamma=90.00
Positions (direct):
Rb 0.000 0.000 0.000
Nb 0.500 0.500 0.500
Br 0.000 0.500 0.500
Br 0.500 0.000 0.500
Br 0.500 0.500 0.000